Record 1
First-principles (PBE) data for an optimized crystal structure of CrInW2, as listed in Alexandria. Values from VASP.

energy relative to the elements: 0.366 eV/atom
D(E_F): 0.608 states/eV/atom
volume: 64 Å³/f.u.
space-group type: Immm

Cell and atoms, written as Quantum ESPRESSO input:
```
&SYSTEM
  ibrav = 0, nat = 4, ntyp = 3
/
ATOMIC_SPECIES
Cr 52.00 Cr.upf
In 114.82 In.upf
W 183.84 W.upf
ATOMIC_POSITIONS crystal
Cr 0.000 0.000 0.000
In 0.500 0.500 0.000
W 0.233 0.733 0.500
W 0.767 0.267 0.500
CELL_PARAMETERS angstrom
-1.593 2.230 4.532
1.593 -2.230 4.532
1.593 2.230 -4.532
```

***

Record 2
First-principles (PBE) data for an optimized crystal structure of Ho2AgHg8, as listed in Alexandria. Values from VASP.

energy relative to the elements: -0.220 eV/atom
D(E_F): 0.542 states/eV/atom
volume: 268 Å³/f.u.
space-group type: P4/mmm
energy above the lowest structure with this stoichiometry: 0.000 eV/atom

Cell and atoms, written as Quantum ESPRESSO input:
```
&SYSTEM
  ibrav = 0, nat = 11, ntyp = 3
/
ATOMIC_SPECIES
Ho 164.93 Ho.upf
Ag 107.87 Ag.upf
Hg 200.59 Hg.upf
ATOMIC_POSITIONS crystal
Ho 0.000 0.000 0.185
Ho 0.000 0.000 0.815
Ag 0.000 0.000 0.500
Hg 0.000 0.500 0.000
Hg 0.000 0.500 0.361
Hg 0.000 0.500 0.639
Hg 0.500 0.000 0.000
Hg 0.500 0.000 0.361
Hg 0.500 0.000 0.639
Hg 0.500 0.500 0.180
Hg 0.500 0.500 0.820
CELL_PARAMETERS angstrom
4.875 0.000 0.000
0.000 4.875 0.000
0.000 0.000 11.283
```

***

Record 3
First-principles (PBE) data for an optimized crystal structure of BeTc2Ir, as listed in Alexandria. Values from VASP.

energy relative to the elements: -0.077 eV/atom
D(E_F): 0.707 states/eV/atom
volume: 54 Å³/f.u.
space-group type: Pmm2

Cell and atoms, written as Quantum ESPRESSO input:
```
&SYSTEM
  ibrav = 0, nat = 4, ntyp = 3
/
ATOMIC_SPECIES
Be 9.01 Be.upf
Tc 98.00 Tc.upf
Ir 192.22 Ir.upf
ATOMIC_POSITIONS crystal
Be 0.000 0.000 0.000
Tc 0.000 0.000 0.501
Tc 0.500 0.500 0.739
Ir 0.500 0.500 0.205
CELL_PARAMETERS angstrom
2.725 0.000 0.000
0.000 3.754 0.000
0.000 0.000 5.253
```

***

Record 4
First-principles (PBE) data for an optimized crystal structure of TlHg2Ir, as listed in Alexandria. Values from VASP.

energy relative to the elements: 0.291 eV/atom
D(E_F): 0.336 states/eV/atom
volume: 93 Å³/f.u.
space-group type: C2/m
energy above the lowest structure with this stoichiometry: 0.013 eV/atom

Cell and atoms, written as Quantum ESPRESSO input:
```
&SYSTEM
  ibrav = 0, nat = 4, ntyp = 3
/
ATOMIC_SPECIES
Tl 204.38 Tl.upf
Hg 200.59 Hg.upf
Ir 192.22 Ir.upf
ATOMIC_POSITIONS crystal
Tl 0.000 0.000 0.000
Hg 0.188 0.188 0.689
Hg 0.812 0.812 0.311
Ir 0.500 0.500 0.500
CELL_PARAMETERS angstrom
6.979 -1.506 0.000
6.979 1.506 0.000
-1.560 0.000 4.409
```